a:
The following is a DFT calculation (PBE) of an optimized crystal structure of BPAuCl2.

abc: 4.0709 4.0709 5.0736
angles: 90.00 90.00 90.00
Space group P4/mmm (No. 123)
Asymmetric unit:
B 0.0000 0.0000 0.0000 (multiplicity 1)
P 0.0000 0.0000 0.5000 (multiplicity 1)
Au 0.5000 0.5000 0.5000 (multiplicity 1)
Cl 0.0000 0.5000 0.0000 (multiplicity 2)

Values from the calculation:
Total moment   0.000 Bohr magnetons per cell

b:
The following is a DFT calculation (PBE) of an optimized crystal structure of BPAuCl2.

abc: 5.2012 5.2012 4.7293
angles: 90.00 90.00 90.00
Space group P4/mmm (No. 123)
Asymmetric unit:
B 0.0000 0.0000 0.0000 (multiplicity 1)
P 0.5000 0.5000 0.0000 (multiplicity 1)
Au 0.5000 0.5000 0.5000 (multiplicity 1)
Cl 0.0000 0.5000 0.5000 (multiplicity 2)

Values from the calculation:
Total moment   1.575 Bohr magnetons per cell

Most stable: a

a:
The following is a DFT calculation (PBE) of an optimized crystal structure of CoBAu3.

abc: 4.3250 4.3250 4.3250
angles: 90.00 90.00 90.00
Space group Pm-3m (No. 221)
Asymmetric unit:
Co 0.0000 0.0000 0.0000 (multiplicity 1)
B 0.5000 0.5000 0.5000 (multiplicity 1)
Au 0.0000 0.5000 0.5000 (multiplicity 3)

Values from the calculation:
Total moment   1.909 Bohr magnetons per cell

b:
The following is a DFT calculation (PBE) of an optimized crystal structure of CoBAu3.

abc: 4.7940 4.7940 4.7940
angles: 90.00 90.00 90.00
Space group Pm-3m (No. 221)
Asymmetric unit:
Co 0.0000 0.0000 0.0000 (multiplicity 1)
B 0.5000 0.5000 0.5000 (multiplicity 1)
Au 0.0000 0.0000 0.5000 (multiplicity 3)

Values from the calculation:
Total moment   2.091 Bohr magnetons per cell

Most stable: a

a:
The following is a DFT calculation (PBE) of an optimized crystal structure of Co3BAu.

abc: 3.8797 3.8797 3.8797
angles: 90.00 90.00 90.00
Space group Pm-3m (No. 221)
Asymmetric unit:
Co 0.0000 0.0000 0.5000 (multiplicity 3)
B 0.0000 0.0000 0.0000 (multiplicity 1)
Au 0.5000 0.5000 0.5000 (multiplicity 1)

Values from the calculation:
Total moment   3.221 Bohr magnetons per cell

b:
The following is a DFT calculation (PBE) of an optimized crystal structure of Co3BAu.

abc: 4.6837 4.6837 4.6837
angles: 90.00 90.00 90.00
Space group Pm-3m (No. 221)
Asymmetric unit:
Co 0.0000 0.0000 0.5000 (multiplicity 3)
B 0.5000 0.5000 0.5000 (multiplicity 1)
Au 0.0000 0.0000 0.0000 (multiplicity 1)

Values from the calculation:
Total moment   6.123 Bohr magnetons per cell

Most stable: a

a:
The following is a DFT calculation (PBE) of an optimized crystal structure of Co2BAu2.

abc: 5.3689 5.3689 4.5551
angles: 90.00 90.00 90.00
Space group P4/mbm (No. 127)
Asymmetric unit:
Co 0.1544 0.3456 0.0000 (multiplicity 4)
B 0.0000 0.0000 0.0000 (multiplicity 2)
Au 0.1780 0.6780 0.5000 (multiplicity 4)

Values from the calculation:
Total moment   3.346 Bohr magnetons per cell

b:
The following is a DFT calculation (PBE) of an optimized crystal structure of Co2BAu2.

abc: 3.6701 3.6701 12.1812
angles: 90.00 90.00 90.00
Space group I4/mmm (No. 139)
Asymmetric unit:
Co 0.0000 0.0000 0.0873 (multiplicity 4)
B 0.0000 0.0000 0.5000 (multiplicity 2)
Au 0.0000 0.5000 0.2500 (multiplicity 4)

Values from the calculation:
Total moment   7.830 Bohr magnetons per cell

Most stable: a

a:
The following is a DFT calculation (PBE) of an optimized crystal structure of CrB2Au.

abc: 4.9171 4.9171 9.0403
angles: 90.00 90.00 90.00
Space group I-42d (No. 122)
Asymmetric unit:
Cr 0.0000 0.0000 0.0000 (multiplicity 4)
B 0.2257 0.2500 0.1250 (multiplicity 8)
Au 0.0000 0.0000 0.5000 (multiplicity 4)

Values from the calculation:
Total moment   0.000 Bohr magnetons per cell

b:
The following is a DFT calculation (PBE) of an optimized crystal structure of CrB2Au.

abc: 5.4712 5.4712 5.4712
angles: 90.00 90.00 90.00
Space group Fm-3m (No. 225)
Asymmetric unit:
Cr 0.0000 0.0000 0.0000 (multiplicity 4)
B 0.2500 0.2500 0.2500 (multiplicity 8)
Au 0.0000 0.0000 0.5000 (multiplicity 4)

Values from the calculation:
Total moment   0.000 Bohr magnetons per cell

Most stable: b

a:
The following is a DFT calculation (PBE) of an optimized crystal structure of CrBTeRhAu.

abc: 3.0874 4.9036 5.5646
angles: 105.48 90.12 90.06
Space group P1 (No. 1)
Asymmetric unit:
Cr 0.0000 0.0000 0.0000 (multiplicity 1)
B 0.5014 0.1791 0.2606 (multiplicity 1)
Te 0.4974 0.7797 0.5685 (multiplicity 1)
Rh 0.0027 0.2477 0.5183 (multiplicity 1)
Au 0.5008 0.4872 0.9913 (multiplicity 1)

Values from the calculation:
Total moment   2.937 Bohr magnetons per cell

b:
The following is a DFT calculation (PBE) of an optimized crystal structure of CrBTeRhAu.

abc: 3.3736 3.3736 8.3337
angles: 90.00 90.00 120.00
Space group P3m1 (No. 156)
Asymmetric unit:
Cr 0.0000 0.0000 0.0000 (multiplicity 1)
B 0.3333 0.6667 0.1280 (multiplicity 1)
Te 0.0000 0.0000 0.4765 (multiplicity 1)
Rh 0.6667 0.3333 0.2303 (multiplicity 1)
Au 0.3333 0.6667 0.7738 (multiplicity 1)

Values from the calculation:
Total moment   2.735 Bohr magnetons per cell

c:
The following is a DFT calculation (PBE) of an optimized crystal structure of CrBTeRhAu.

abc: 8.2292 3.0735 7.6874
angles: 90.00 113.13 90.00
Space group Cm (No. 8)
Asymmetric unit:
Cr 0.0000 0.0000 0.0000 (multiplicity 2)
B 0.1990 0.5000 0.0264 (multiplicity 2)
Te 0.1593 0.0000 0.4145 (multiplicity 2)
Rh 0.3545 0.0000 0.1965 (multiplicity 2)
Au 0.1995 0.0000 0.7857 (multiplicity 2)

Values from the calculation:
Total moment   6.217 Bohr magnetons per cell

Most stable: b

a:
The following is a DFT calculation (PBE) of an optimized crystal structure of CrBTeRhAu.

abc: 2.9993 3.3159 16.3367
angles: 90.00 90.00 90.00
Space group Amm2 (No. 38)
Asymmetric unit:
Cr 0.0000 0.0000 0.0000 (multiplicity 2)
B 0.5000 0.0000 0.9016 (multiplicity 2)
Te 0.5000 0.0000 0.5905 (multiplicity 2)
Rh 0.0000 0.0000 0.3726 (multiplicity 2)
Au 0.5000 0.0000 0.7586 (multiplicity 2)

Values from the calculation:
Total moment   4.098 Bohr magnetons per cell

b:
The following is a DFT calculation (PBE) of an optimized crystal structure of CrBTeRhAu.

abc: 3.2782 3.2782 26.1704
angles: 90.00 90.00 120.00
Space group R3m (No. 160, hexagonal axes)
Asymmetric unit:
Cr 0.0000 0.0000 0.0000 (multiplicity 3)
B 0.0000 0.0000 0.3781 (multiplicity 3)
Te 0.0000 0.0000 0.5979 (multiplicity 3)
Rh 0.0000 0.0000 0.7436 (multiplicity 3)
Au 0.0000 0.0000 0.4913 (multiplicity 3)

Values from the calculation:
Total moment   3.564 Bohr magnetons per cell

c:
The following is a DFT calculation (PBE) of an optimized crystal structure of CrBTeRhAu.

abc: 5.6706 3.2740 8.5800
angles: 90.00 90.14 90.00
Space group Cm (No. 8)
Asymmetric unit:
Cr 0.0000 0.0000 0.0000 (multiplicity 2)
B 0.1661 0.5000 0.8660 (multiplicity 2)
Te 0.3342 0.0000 0.2156 (multiplicity 2)
Rh 0.3325 0.0000 0.7668 (multiplicity 2)
Au 0.1650 0.5000 0.5215 (multiplicity 2)

Values from the calculation:
Total moment   2.203 Bohr magnetons per cell

d:
The following is a DFT calculation (PBE) of an optimized crystal structure of CrBTeRhAu.

abc: 3.3031 3.3031 26.8992
angles: 90.00 90.00 120.00
Space group R3m (No. 160, hexagonal axes)
Asymmetric unit:
Cr 0.0000 0.0000 0.0000 (multiplicity 3)
B 0.0000 0.0000 0.3742 (multiplicity 3)
Te 0.0000 0.0000 0.1531 (multiplicity 3)
Rh 0.0000 0.0000 0.7402 (multiplicity 3)
Au 0.0000 0.0000 0.2615 (multiplicity 3)

Values from the calculation:
Total moment   8.124 Bohr magnetons per cell

Most stable: b

a:
The following is a DFT calculation (PBE) of an optimized crystal structure of Cu3BAu.

abc: 4.7644 4.7644 4.7644
angles: 90.00 90.00 90.00
Space group Pm-3m (No. 221)
Asymmetric unit:
Cu 0.0000 0.0000 0.5000 (multiplicity 3)
B 0.5000 0.5000 0.5000 (multiplicity 1)
Au 0.0000 0.0000 0.0000 (multiplicity 1)

Values from the calculation:
Total moment   0.000 Bohr magnetons per cell

b:
The following is a DFT calculation (PBE) of an optimized crystal structure of Cu3BAu.

abc: 3.9864 3.9864 3.9864
angles: 90.00 90.00 90.00
Space group Pm-3m (No. 221)
Asymmetric unit:
Cu 0.0000 0.0000 0.5000 (multiplicity 3)
B 0.0000 0.0000 0.0000 (multiplicity 1)
Au 0.5000 0.5000 0.5000 (multiplicity 1)

Values from the calculation:
Total moment   0.000 Bohr magnetons per cell

Most stable: b

a:
The following is a DFT calculation (PBE) of an optimized crystal structure of BAu2F.

abc: 5.9483 5.9483 5.9483
angles: 90.00 90.00 90.00
Space group Fm-3m (No. 225)
Asymmetric unit:
B 0.0000 0.0000 0.0000 (multiplicity 4)
Au 0.2500 0.2500 0.2500 (multiplicity 8)
F 0.0000 0.0000 0.5000 (multiplicity 4)

Values from the calculation:
Total moment   0.000 Bohr magnetons per cell

b:
The following is a DFT calculation (PBE) of an optimized crystal structure of BAu2F.

abc: 5.9017 5.9017 7.2775
angles: 90.00 90.00 90.00
Space group I-42d (No. 122)
Asymmetric unit:
B 0.0000 0.0000 0.0000 (multiplicity 4)
Au 0.1965 0.2500 0.1250 (multiplicity 8)
F 0.0000 0.0000 0.5000 (multiplicity 4)

Values from the calculation:
Total moment   0.000 Bohr magnetons per cell

Most stable: b

a:
The following is a DFT calculation (PBE) of an optimized crystal structure of B2AuF.

abc: 5.0023 5.0023 8.9573
angles: 90.00 90.00 90.00
Space group I-42d (No. 122)
Asymmetric unit:
B 0.2501 0.2500 0.1250 (multiplicity 8)
Au 0.0000 0.0000 0.0000 (multiplicity 4)
F 0.0000 0.0000 0.5000 (multiplicity 4)

Values from the calculation:
Total moment   0.000 Bohr magnetons per cell

b:
The following is a DFT calculation (PBE) of an optimized crystal structure of B2AuF.

abc: 5.6415 5.6415 5.6415
angles: 90.00 90.00 90.00
Space group Fm-3m (No. 225)
Asymmetric unit:
B 0.2500 0.2500 0.2500 (multiplicity 8)
Au 0.0000 0.0000 0.0000 (multiplicity 4)
F 0.0000 0.0000 0.5000 (multiplicity 4)

Values from the calculation:
Total moment   0.000 Bohr magnetons per cell

Most stable: a

a:
The following is a DFT calculation (PBE) of an optimized crystal structure of B3AuF.

abc: 3.8675 3.8675 3.8675
angles: 90.00 90.00 90.00
Space group Pm-3m (No. 221)
Asymmetric unit:
B 0.0000 0.0000 0.5000 (multiplicity 3)
Au 0.5000 0.5000 0.5000 (multiplicity 1)
F 0.0000 0.0000 0.0000 (multiplicity 1)

Values from the calculation:
Total moment   0.000 Bohr magnetons per cell

b:
The following is a DFT calculation (PBE) of an optimized crystal structure of B3AuF.

abc: 4.1803 4.1803 4.1803
angles: 90.00 90.00 90.00
Space group Pm-3m (No. 221)
Asymmetric unit:
B 0.0000 0.0000 0.5000 (multiplicity 3)
Au 0.0000 0.0000 0.0000 (multiplicity 1)
F 0.5000 0.5000 0.5000 (multiplicity 1)

Values from the calculation:
Total moment   0.000 Bohr magnetons per cell

Most stable: b